Run P
# UTe2Br PBE relaxed
# - ρ: 6.716 g cm⁻³
# - M_tot: 1.164 μB per formula unit
# - SG: R-3m, No. 166
data_UTe2Br
_chemical_formula_sum 'U3 Te6 Br3'
_cell_length_a 4.5482
_cell_length_b 4.5482
_cell_length_c 23.7316
_cell_angle_alpha 90.00
_cell_angle_beta 90.00
_cell_angle_gamma 120.00
_space_group_name_H-M_alt 'P 1'
_space_group_IT_number 1
loop_
_space_group_symop_operation_xyz
'x,y,z'
loop_
_atom_site_label
_atom_site_type_symbol
_atom_site_fract_x
_atom_site_fract_y
_atom_site_fract_z
U1 U 0.0000 0.0000 0.0000
U2 U 0.3333 0.6667 0.6667
U3 U 0.6667 0.3333 0.3333
Te1 Te 0.0000 0.0000 0.2693
Te2 Te 0.0000 0.0000 0.7307
Te3 Te 0.3333 0.6667 0.3974
Te4 Te 0.3333 0.6667 0.9360
Te5 Te 0.6667 0.3333 0.0640
Te6 Te 0.6667 0.3333 0.6026
Br1 Br 0.0000 0.0000 0.5000
Br2 Br 0.3333 0.6667 0.1667
Br3 Br 0.6667 0.3333 0.8333

***

Run Q
# UTe2Br PBE relaxed
# - ρ: 6.954 g cm⁻³
# - M_tot: 1.190 μB per formula unit
# - SG: Cmcm, No. 63
data_UTe2Br
_chemical_formula_sum 'U4 Te8 Br4'
_cell_length_a 4.0467
_cell_length_b 14.5392
_cell_length_c 9.3045
_cell_angle_alpha 90.00
_cell_angle_beta 90.00
_cell_angle_gamma 90.00
_space_group_name_H-M_alt 'P 1'
_space_group_IT_number 1
loop_
_space_group_symop_operation_xyz
'x,y,z'
loop_
_atom_site_label
_atom_site_type_symbol
_atom_site_fract_x
_atom_site_fract_y
_atom_site_fract_z
U1 U 0.0000 0.2389 0.2500
U2 U 0.0000 0.7611 0.7500
U3 U 0.5000 0.2611 0.7500
U4 U 0.5000 0.7389 0.2500
Te1 Te 0.0000 0.1528 0.5689
Te2 Te 0.0000 0.1528 0.9311
Te3 Te 0.0000 0.8472 0.0689
Te4 Te 0.0000 0.8472 0.4311
Te5 Te 0.5000 0.3472 0.0689
Te6 Te 0.5000 0.3472 0.4311
Te7 Te 0.5000 0.6528 0.5689
Te8 Te 0.5000 0.6528 0.9311
Br1 Br 0.0000 0.4020 0.7500
Br2 Br 0.0000 0.5980 0.2500
Br3 Br 0.5000 0.0980 0.2500
Br4 Br 0.5000 0.9020 0.7500

***

What is the stability order? It is run Q, run P, from most stable to least stable.

***

Run P
# V3TeBr PBE relaxed
# - ρ: 4.094 g cm⁻³
# - M_tot: 11.888 μB per formula unit
# - SG: Pm-3m, No. 221
data_V3TeBr
_chemical_formula_sum 'V3 Te1 Br1'
_cell_length_a 5.2676
_cell_length_b 5.2676
_cell_length_c 5.2676
_cell_angle_alpha 90.00
_cell_angle_beta 90.00
_cell_angle_gamma 90.00
_space_group_name_H-M_alt 'P 1'
_space_group_IT_number 1
loop_
_space_group_symop_operation_xyz
'x,y,z'
loop_
_atom_site_label
_atom_site_type_symbol
_atom_site_fract_x
_atom_site_fract_y
_atom_site_fract_z
V1 V 0.0000 0.0000 0.5000
V2 V 0.0000 0.5000 0.0000
V3 V 0.5000 0.0000 0.0000
Te1 Te 0.0000 0.0000 0.0000
Br1 Br 0.5000 0.5000 0.5000

***

Run Q
# V3TeBr PBE relaxed
# - ρ: 6.361 g cm⁻³
# - M_tot: 0.077 μB per formula unit
# - SG: Pm-3m, No. 221
data_V3TeBr
_chemical_formula_sum 'V3 Te1 Br1'
_cell_length_a 4.5478
_cell_length_b 4.5478
_cell_length_c 4.5478
_cell_angle_alpha 90.00
_cell_angle_beta 90.00
_cell_angle_gamma 90.00
_space_group_name_H-M_alt 'P 1'
_space_group_IT_number 1
loop_
_space_group_symop_operation_xyz
'x,y,z'
loop_
_atom_site_label
_atom_site_type_symbol
_atom_site_fract_x
_atom_site_fract_y
_atom_site_fract_z
V1 V 0.0000 0.0000 0.5000
V2 V 0.0000 0.5000 0.0000
V3 V 0.5000 0.0000 0.0000
Te1 Te 0.5000 0.5000 0.5000
Br1 Br 0.0000 0.0000 0.0000

***

What is the stability order? It is run Q, run P, from most stable to least stable.

***

Run P
# V2TeBr PBE relaxed
# - ρ: 7.119 g cm⁻³
# - M_tot: 3.316 μB per formula unit
# - SG: Fm-3m, No. 225
data_V2TeBr
_chemical_formula_sum 'V8 Te4 Br4'
_cell_length_a 6.6089
_cell_length_b 6.6089
_cell_length_c 6.6089
_cell_angle_alpha 90.00
_cell_angle_beta 90.00
_cell_angle_gamma 90.00
_space_group_name_H-M_alt 'P 1'
_space_group_IT_number 1
loop_
_space_group_symop_operation_xyz
'x,y,z'
loop_
_atom_site_label
_atom_site_type_symbol
_atom_site_fract_x
_atom_site_fract_y
_atom_site_fract_z
V1 V 0.2500 0.2500 0.2500
V2 V 0.2500 0.2500 0.7500
V3 V 0.2500 0.7500 0.2500
V4 V 0.2500 0.7500 0.7500
V5 V 0.7500 0.2500 0.2500
V6 V 0.7500 0.2500 0.7500
V7 V 0.7500 0.7500 0.2500
V8 V 0.7500 0.7500 0.7500
Te1 Te 0.0000 0.0000 0.0000
Te2 Te 0.0000 0.5000 0.5000
Te3 Te 0.5000 0.0000 0.5000
Te4 Te 0.5000 0.5000 0.0000
Br1 Br 0.0000 0.0000 0.5000
Br2 Br 0.0000 0.5000 0.0000
Br3 Br 0.5000 0.0000 0.0000
Br4 Br 0.5000 0.5000 0.5000

***

Run Q
# V2TeBr PBE relaxed
# - ρ: 4.423 g cm⁻³
# - M_tot: 7.007 μB per formula unit
# - SG: I-42d, No. 122
data_V2TeBr
_chemical_formula_sum 'V8 Te4 Br4'
_cell_length_a 6.1662
_cell_length_b 6.1662
_cell_length_c 12.2190
_cell_angle_alpha 90.00
_cell_angle_beta 90.00
_cell_angle_gamma 90.00
_space_group_name_H-M_alt 'P 1'
_space_group_IT_number 1
loop_
_space_group_symop_operation_xyz
'x,y,z'
loop_
_atom_site_label
_atom_site_type_symbol
_atom_site_fract_x
_atom_site_fract_y
_atom_site_fract_z
V1 V 0.2399 0.2500 0.1250
V2 V 0.2500 0.7399 0.3750
V3 V 0.2500 0.7601 0.8750
V4 V 0.2601 0.2500 0.6250
V5 V 0.7399 0.7500 0.6250
V6 V 0.7500 0.2399 0.8750
V7 V 0.7500 0.2601 0.3750
V8 V 0.7601 0.7500 0.1250
Te1 Te 0.0000 0.0000 0.5000
Te2 Te 0.0000 0.5000 0.7500
Te3 Te 0.5000 0.0000 0.2500
Te4 Te 0.5000 0.5000 0.0000
Br1 Br 0.0000 0.0000 0.0000
Br2 Br 0.0000 0.5000 0.2500
Br3 Br 0.5000 0.0000 0.7500
Br4 Br 0.5000 0.5000 0.5000

***

What is the stability order? It is run Q, run P, from most stable to least stable.

***

Run P
# TeWBr PBE relaxed
# - ρ: 9.187 g cm⁻³
# - M_tot: 1.006 μB per formula unit
# - SG: F-43m, No. 216
data_TeWBr
_chemical_formula_sum 'Te4 W4 Br4'
_cell_length_a 6.5650
_cell_length_b 6.5650
_cell_length_c 6.5650
_cell_angle_alpha 90.00
_cell_angle_beta 90.00
_cell_angle_gamma 90.00
_space_group_name_H-M_alt 'P 1'
_space_group_IT_number 1
loop_
_space_group_symop_operation_xyz
'x,y,z'
loop_
_atom_site_label
_atom_site_type_symbol
_atom_site_fract_x
_atom_site_fract_y
_atom_site_fract_z
Te1 Te 0.0000 0.0000 0.0000
Te2 Te 0.0000 0.5000 0.5000
Te3 Te 0.5000 0.0000 0.5000
Te4 Te 0.5000 0.5000 0.0000
W1 W 0.2500 0.2500 0.7500
W2 W 0.2500 0.7500 0.2500
W3 W 0.7500 0.2500 0.2500
W4 W 0.7500 0.7500 0.7500
Br1 Br 0.0000 0.0000 0.5000
Br2 Br 0.0000 0.5000 0.0000
Br3 Br 0.5000 0.0000 0.0000
Br4 Br 0.5000 0.5000 0.5000

***

Run Q
# TeWBr PBE relaxed
# - ρ: 8.150 g cm⁻³
# - M_tot: 0.000 μB per formula unit
# - SG: P3m1, No. 156
data_TeWBr
_chemical_formula_sum 'Te1 W1 Br1'
_cell_length_a 3.4257
_cell_length_b 3.4257
_cell_length_c 7.8457
_cell_angle_alpha 90.00
_cell_angle_beta 90.00
_cell_angle_gamma 120.00
_space_group_name_H-M_alt 'P 1'
_space_group_IT_number 1
loop_
_space_group_symop_operation_xyz
'x,y,z'
loop_
_atom_site_label
_atom_site_type_symbol
_atom_site_fract_x
_atom_site_fract_y
_atom_site_fract_z
Te1 Te 0.0000 0.0000 0.0000
W1 W 0.3333 0.6667 0.2359
Br1 Br 0.6667 0.3333 0.4759

***

What is the stability order? It is run Q, run P, from most stable to least stable.

***

Run P
# TeWBr PBE relaxed
# - ρ: 6.297 g cm⁻³
# - M_tot: 0.000 μB per formula unit
# - SG: P-1, No. 2
data_TeWBr
_chemical_formula_sum 'Te2 W2 Br2'
_cell_length_a 3.6378
_cell_length_b 7.1054
_cell_length_c 8.1500
_cell_angle_alpha 87.38
_cell_angle_beta 78.77
_cell_angle_gamma 89.61
_space_group_name_H-M_alt 'P 1'
_space_group_IT_number 1
loop_
_space_group_symop_operation_xyz
'x,y,z'
loop_
_atom_site_label
_atom_site_type_symbol
_atom_site_fract_x
_atom_site_fract_y
_atom_site_fract_z
Te1 Te 0.1846 0.2555 0.1458
Te2 Te 0.8154 0.7445 0.8542
W1 W 0.2999 0.0267 0.8821
W2 W 0.7001 0.9733 0.1179
Br1 Br 0.3873 0.2691 0.6558
Br2 Br 0.6127 0.7309 0.3442

***

Run Q
# TeWBr PBE relaxed
# - ρ: 7.657 g cm⁻³
# - M_tot: 3.000 μB per formula unit
# - SG: F-43m, No. 216
data_TeWBr
_chemical_formula_sum 'Te4 W4 Br4'
_cell_length_a 6.9759
_cell_length_b 6.9759
_cell_length_c 6.9759
_cell_angle_alpha 90.00
_cell_angle_beta 90.00
_cell_angle_gamma 90.00
_space_group_name_H-M_alt 'P 1'
_space_group_IT_number 1
loop_
_space_group_symop_operation_xyz
'x,y,z'
loop_
_atom_site_label
_atom_site_type_symbol
_atom_site_fract_x
_atom_site_fract_y
_atom_site_fract_z
Te1 Te 0.0000 0.0000 0.0000
Te2 Te 0.0000 0.5000 0.5000
Te3 Te 0.5000 0.0000 0.5000
Te4 Te 0.5000 0.5000 0.0000
W1 W 0.2500 0.2500 0.7500
W2 W 0.2500 0.7500 0.2500
W3 W 0.7500 0.2500 0.2500
W4 W 0.7500 0.7500 0.7500
Br1 Br 0.2500 0.2500 0.2500
Br2 Br 0.2500 0.7500 0.7500
Br3 Br 0.7500 0.2500 0.7500
Br4 Br 0.7500 0.7500 0.2500

***

What is the stability order? It is run P, run Q, from most stable to least stable.

***

Run P
# TeWBr PBE relaxed
# - ρ: 8.565 g cm⁻³
# - M_tot: 0.000 μB per formula unit
# - SG: I4mm, No. 107
data_TeWBr
_chemical_formula_sum 'Te2 W2 Br2'
_cell_length_a 3.2441
_cell_length_b 3.2441
_cell_length_c 14.4187
_cell_angle_alpha 90.00
_cell_angle_beta 90.00
_cell_angle_gamma 90.00
_space_group_name_H-M_alt 'P 1'
_space_group_IT_number 1
loop_
_space_group_symop_operation_xyz
'x,y,z'
loop_
_atom_site_label
_atom_site_type_symbol
_atom_site_fract_x
_atom_site_fract_y
_atom_site_fract_z
Te1 Te 0.0000 0.0000 0.0000
Te2 Te 0.5000 0.5000 0.5000
W1 W 0.0000 0.0000 0.3861
W2 W 0.5000 0.5000 0.8861
Br1 Br 0.0000 0.0000 0.7690
Br2 Br 0.5000 0.5000 0.2690

***

Run Q
# TeWBr PBE relaxed
# - ρ: 8.556 g cm⁻³
# - M_tot: 0.446 μB per formula unit
# - SG: Fmm2, No. 42
data_TeWBr
_chemical_formula_sum 'Te4 W4 Br4'
_cell_length_a 3.2983
_cell_length_b 5.6420
_cell_length_c 16.3258
_cell_angle_alpha 90.00
_cell_angle_beta 90.00
_cell_angle_gamma 90.00
_space_group_name_H-M_alt 'P 1'
_space_group_IT_number 1
loop_
_space_group_symop_operation_xyz
'x,y,z'
loop_
_atom_site_label
_atom_site_type_symbol
_atom_site_fract_x
_atom_site_fract_y
_atom_site_fract_z
Te1 Te 0.0000 0.0000 0.0000
Te2 Te 0.0000 0.5000 0.5000
Te3 Te 0.5000 0.0000 0.5000
Te4 Te 0.5000 0.5000 0.0000
W1 W 0.0000 0.0000 0.3669
W2 W 0.0000 0.5000 0.8669
W3 W 0.5000 0.0000 0.8669
W4 W 0.5000 0.5000 0.3669
Br1 Br 0.0000 0.0000 0.7410
Br2 Br 0.0000 0.5000 0.2410
Br3 Br 0.5000 0.0000 0.2410
Br4 Br 0.5000 0.5000 0.7410

***

What is the stability order? It is run P, run Q, from most stable to least stable.